A relaxed structure of CdInP2, computed with PBE.

The structure in extended XYZ format:
```
4
Lattice="2.899 -3.824 0.000 2.899 3.824 0.000 -1.835 0.000 3.774" Properties=species:S:1:pos:R:3 pbc="T T T"
Cd 0.000 0.000 0.000
In 2.899 0.000 0.000
P 0.532 1.912 1.887
P 0.532 -1.912 1.887
```

Properties
Electronic total energy in eV for the cell shown: -13.31
DOS(E_F) in states/eV per cell: 1.55